{
  "formula": "Cd4Hg3Pb2",
  "functional": "PBE",
  "state": "relaxed",
  "magnetic_moment_mub_per_cell": 0.0,
  "polymorph_energy_kj_per_mol_atoms": 0.2,
  "energy_ha_per_atom": -0.0475,
  "lattice_angstrom": [[3.124, -1.802, 0.000], [3.124, 1.802, 0.000], [-0.019, 0.000, 21.136]],
  "species": ["Cd", "Cd", "Cd", "Cd", "Hg", "Hg", "Hg", "Pb", "Pb"],
  "fractional_positions": [[0.001, 0.001, 0.159], [0.334, 0.334, 0.604], [0.666, 0.666, 0.396], [0.999, 0.999, 0.841], [0.000, 0.000, 0.500], [0.333, 0.333, 0.945], [0.667, 0.667, 0.055], [0.332, 0.332, 0.277], [0.668, 0.668, 0.723]]
}


{
  "formula": "CdHg4Pb",
  "functional": "PBE",
  "state": "relaxed",
  "magnetic_moment_mub_per_cell": 0.0,
  "polymorph_energy_kj_per_mol_atoms": 0.0,
  "energy_ha_per_atom": -0.0347,
  "lattice_angstrom": [[5.745, 0.000, 0.000], [-1.025, 6.524, 0.000], [-0.119, -1.303, 8.558]],
  "species": ["Cd", "Cd", "Hg", "Hg", "Hg", "Hg", "Hg", "Hg", "Hg", "Hg", "Pb", "Pb"],
  "fractional_positions": [[0.235, 0.353, 0.227], [0.765, 0.647, 0.773], [0.234, 0.172, 0.576], [0.245, 0.030, 0.912], [0.254, 0.531, 0.919], [0.258, 0.865, 0.245], [0.742, 0.135, 0.755], [0.746, 0.469, 0.081], [0.755, 0.970, 0.088], [0.766, 0.828, 0.424], [0.263, 0.666, 0.577], [0.737, 0.334, 0.423]]
}


{
  "formula": "Cd3Hg3Pb2",
  "functional": "PBE",
  "state": "relaxed",
  "magnetic_moment_mub_per_cell": 0.0,
  "energy_ha_per_atom": -0.0489,
  "lattice_angstrom": [[1.672, -8.267, 0.000], [1.672, 8.267, 0.000], [0.000, 0.000, 15.472]],
  "species": ["Cd", "Cd", "Cd", "Cd", "Cd", "Cd", "Hg", "Hg", "Hg", "Hg", "Hg", "Hg", "Pb", "Pb", "Pb", "Pb"],
  "fractional_positions": [[0.036, 0.964, 0.589], [0.036, 0.964, 0.911], [0.362, 0.638, 0.750], [0.638, 0.362, 0.250], [0.964, 0.036, 0.089], [0.964, 0.036, 0.411], [0.372, 0.628, 0.555], [0.372, 0.628, 0.945], [0.460, 0.540, 0.250], [0.540, 0.460, 0.750], [0.628, 0.372, 0.055], [0.628, 0.372, 0.445], [0.289, 0.711, 0.138], [0.289, 0.711, 0.362], [0.711, 0.289, 0.638], [0.711, 0.289, 0.862]]
}


{
  "formula": "Cd2Hg7Pb",
  "functional": "PBE",
  "state": "relaxed",
  "magnetic_moment_mub_per_cell": 0.0,
  "polymorph_energy_kj_per_mol_atoms": 1.3,
  "energy_ha_per_atom": -0.0256,
  "lattice_angstrom": [[5.572, -7.978, 0.000], [5.572, 7.978, 0.000], [0.000, 0.000, 3.256]],
  "species": ["Cd", "Cd", "Hg", "Hg", "Hg", "Hg", "Hg", "Hg", "Hg", "Pb"],
  "fractional_positions": [[0.175, 0.825, 0.000], [0.825, 0.175, 0.000], [0.145, 0.360, 0.000], [0.331, 0.669, 0.500], [0.360, 0.145, 0.000], [0.500, 0.500, 0.000], [0.640, 0.855, 0.000], [0.669, 0.331, 0.500], [0.855, 0.640, 0.000], [0.000, 0.000, 0.500]]
}


{
  "formula": "CdHg2Pb2",
  "functional": "PBE",
  "state": "relaxed",
  "magnetic_moment_mub_per_cell": 0.0,
  "polymorph_energy_kj_per_mol_atoms": 0.0,
  "energy_ha_per_atom": -0.0651,
  "lattice_angstrom": [[-1.839, 1.839, 10.081], [1.839, -1.839, 10.081], [1.839, 1.839, -10.081]],
  "species": ["Cd", "Hg", "Hg", "Pb", "Pb"],
  "fractional_positions": [[0.000, 0.000, 0.000], [0.412, 0.412, 0.000], [0.588, 0.588, 0.000], [0.191, 0.191, 0.000], [0.809, 0.809, 0.000]]
}


{
  "formula": "CdHgPb2",
  "functional": "PBE",
  "state": "relaxed",
  "magnetic_moment_mub_per_cell": 0.0,
  "polymorph_energy_kj_per_mol_atoms": 2.5,
  "energy_ha_per_atom": -0.0775,
  "lattice_angstrom": [[-1.802, 2.871, 5.512], [1.802, -2.871, 5.512], [1.802, 2.871, -5.512]],
  "species": ["Cd", "Hg", "Pb", "Pb"],
  "fractional_positions": [[0.000, 0.000, 0.000], [0.500, 0.500, 0.000], [0.249, 0.749, 0.500], [0.751, 0.251, 0.500]]
}


{
  "formula": "Cd5Hg3Pb2",
  "functional": "PBE",
  "state": "relaxed",
  "magnetic_moment_mub_per_cell": 0.0,
  "polymorph_energy_kj_per_mol_atoms": 3.3,
  "energy_ha_per_atom": -0.0450,
  "lattice_angstrom": [[-6.133, 7.149, 3.003], [6.133, -7.149, 3.003], [6.133, 7.149, -3.003]],
  "species": ["Cd", "Cd", "Cd", "Cd", "Cd", "Cd", "Cd", "Cd", "Cd", "Cd", "Hg", "Hg", "Hg", "Hg", "Hg", "Hg", "Pb", "Pb", "Pb", "Pb"],
  "fractional_positions": [[0.150, 0.633, 0.783], [0.250, 0.250, 0.000], [0.250, 0.502, 0.252], [0.250, 0.998, 0.748], [0.350, 0.133, 0.482], [0.650, 0.867, 0.518], [0.750, 0.002, 0.252], [0.750, 0.498, 0.748], [0.750, 0.750, 0.000], [0.850, 0.367, 0.217], [0.148, 0.128, 0.276], [0.250, 0.750, 0.500], [0.352, 0.628, 0.980], [0.648, 0.372, 0.020], [0.750, 0.250, 0.500], [0.852, 0.872, 0.724], [0.248, 0.384, 0.632], [0.252, 0.884, 0.136], [0.748, 0.116, 0.864], [0.752, 0.616, 0.368]]
}


{
  "formula": "Cd5Hg6Pb",
  "functional": "PBE",
  "state": "relaxed",
  "magnetic_moment_mub_per_cell": 0.0,
  "polymorph_energy_kj_per_mol_atoms": 0.5,
  "energy_ha_per_atom": -0.0301,
  "lattice_angstrom": [[3.943, -8.170, 0.000], [3.943, 8.170, 0.000], [-3.530, 0.000, 4.719]],
  "species": ["Cd", "Cd", "Cd", "Cd", "Cd", "Hg", "Hg", "Hg", "Hg", "Hg", "Hg", "Pb"],
  "fractional_positions": [[0.000, 0.000, 0.000], [0.163, 0.837, 0.500], [0.340, 0.660, 0.000], [0.660, 0.340, 0.000], [0.837, 0.163, 0.500], [0.072, 0.419, 0.245], [0.244, 0.244, 0.758], [0.419, 0.072, 0.245], [0.581, 0.928, 0.755], [0.756, 0.756, 0.242], [0.928, 0.581, 0.755], [0.500, 0.500, 0.500]]
}